(1)
A plane-wave DFT calculation with GGA-PBE was carried out for a geometry-optimized Ac3Tl2Sn2 structure.

## Properties
**Final energy**: -4.0759 eV per atom
**Size of the total moment**: 0.000 μB per atom
**D(E_F)**: 0.690 states/eV per atom
**Density**: 8987 kg/m3
**Formation energy**: -0.50 eV/atom

a b c (Å): 4.9874 6.7162 8.4080
angles (deg): 108.82 90.00 111.80
Fractional coordinates of all 7 atoms:
Ac 0.3290 0.6580 0.3688
Ac 0.6710 0.3420 0.6312
Ac 0.5000 0.0000 0.0000
Tl 0.8258 0.6516 0.0449
Tl 0.1742 0.3484 0.9551
Sn 0.9555 0.9110 0.6524
Sn 0.0445 0.0890 0.3476

---

(2)
A plane-wave DFT calculation with GGA-PBE was carried out for a geometry-optimized Cs2S5O structure.

## Properties
**Final energy**: -4.1546 eV per atom
**Size of the total moment**: 0.000 μB per atom
**Density**: 2546 kg/m3
**Formation energy (no corrections)**: -742 meV/atom

a b c (Å): 6.0016 11.5475 9.5951
angles (deg): 74.31 73.31 66.96
Fractional coordinates of all 16 atoms:
Cs 0.2387 0.5620 0.7376
Cs 0.7613 0.4380 0.2624
Cs 0.2809 0.9041 0.2480
Cs 0.7191 0.0959 0.7520
S 0.2291 0.3320 0.4851
S 0.7709 0.6680 0.5149
S 0.3056 0.1515 0.4754
S 0.6944 0.8485 0.5246
S 0.6174 0.1080 0.2423
S 0.3826 0.8920 0.7577
S 0.5007 0.2683 0.0964
S 0.4993 0.7317 0.9036
S 0.2357 0.2634 0.0055
S 0.7643 0.7366 0.9945
O 0.4211 0.3513 0.5473
O 0.5789 0.6487 0.4527

---

(3)
A plane-wave DFT calculation with GGA-PBE was carried out for a geometry-optimized Nd4MgIr2 structure.

## Properties
**Final energy**: -5.8446 eV per atom
**Size of the total moment**: 0.000 μB per atom
**D(E_F)**: 0.791 states/eV per atom
**Density**: 7814 kg/m3
**Formation energy**: -0.36 eV/atom

a b c (Å): 7.4790 7.4853 9.5760
angles (deg): 124.83 107.34 83.54
Fractional coordinates of all 14 atoms:
Nd 0.9261 0.0881 0.2439
Nd 0.3868 0.6230 0.2390
Nd 0.8421 0.6889 0.7641
Nd 0.8531 0.0566 0.6059
Nd 0.4519 0.2474 0.3926
Nd 0.3839 0.1458 0.7594
Nd 0.3743 0.7236 0.8998
Nd 0.8246 0.4749 0.0993
Mg 0.1253 0.6262 0.5010
Mg 0.1574 0.1570 0.9998
Ir 0.6329 0.4055 0.7610
Ir 0.6449 0.8714 0.2370
Ir 0.5555 0.1804 0.0896
Ir 0.0912 0.4611 0.9076

---

(4)
A plane-wave DFT calculation with GGA-PBE was carried out for a geometry-optimized TbY2N structure.

## Properties
**Final energy**: -6.6619 eV per atom
**Size of the total moment**: 0.000 μB per atom
**D(E_F)**: 1.280 states/eV per atom
**Density**: 6521 kg/m3
**Formation energy (no corrections)**: -191 meV/atom

a b c (Å): 3.1863 3.1863 8.7965
angles (deg): 90.00 90.00 90.00
Fractional coordinates of all 4 atoms:
Y 0.0000 0.0000 0.8392
Y 0.0000 0.0000 0.1608
Tb 0.5000 0.5000 0.5000
N 0.5000 0.5000 0.0000

---

(5)
A plane-wave DFT calculation with GGA-PBE was carried out for a geometry-optimized Rb2Se8S structure.

## Properties
**Final energy**: -3.4084 eV per atom
**Size of the total moment**: 0.000 μB per atom
**D(E_F)**: 0.015 states/eV per atom
**Density**: 3895 kg/m3
**Formation energy (no corrections)**: -323 meV/atom

a b c (Å): 7.4987 16.5858 13.8804
angles (deg): 150.49 150.31 27.56
Fractional coordinates of all 11 atoms:
Rb 0.0018 0.7696 0.6335
Rb 0.9982 0.2304 0.3665
Se 0.3475 0.2600 0.3230
Se 0.1034 0.2002 0.8520
Se 0.7148 0.5274 0.0686
Se 0.9530 0.2619 0.6661
Se 0.0470 0.7381 0.3339
Se 0.2852 0.4726 0.9314
Se 0.8966 0.7998 0.1480
Se 0.6525 0.7400 0.6770
S 0.5000 0.0000 0.0000

---

(6)
A plane-wave DFT calculation with GGA-PBE was carried out for a geometry-optimized BeWBr structure.

## Properties
**Final energy**: -4.3306 eV per atom
**Size of the total moment**: 0.000 μB per atom
**D(E_F)**: 0.688 states/eV per atom
**Density**: 8891 kg/m3
**Formation energy (no corrections)**: 1787 meV/atom

a b c (Å): 4.1610 4.1610 4.1610
angles (deg): 60.00 60.00 60.00
Fractional coordinates of all 3 atoms:
Be 0.5000 0.5000 0.5000
Br 0.2500 0.2500 0.2500
W 0.0000 0.0000 0.0000